(1)
This record from Alexandria describes Sn7TeI12 after structural relaxation. The functional is PBE.

The structure belongs to space group R-3 (No. 148, hexagonal axes); the cell edges are 16.4769, 16.4769 and 11.2194 Å and the angles 90.00°, 90.00° and 120.00°. The asymmetric unit holds Sn at (0.0000, 0.0000, 0.0000), Sn at (0.0547, 0.8738, 0.3348), Te at (0.0000, 0.0000, 0.5000), I at (0.0282, 0.4380, 0.1604) and I at (0.0465, 0.8710, 0.8306).

For the uncorrected formation energy, the calculation gives -0.47 eV/atom.

(2)
This record from Alexandria describes Eu4Bi3 after structural relaxation. The functional is PBE.

The structure belongs to space group I-43d (No. 220); the cell edges are 9.917, 9.917 and 9.917 Å and the angles 90.00°, 90.00° and 90.00°. The asymmetric unit holds Eu at (0.072, 0.428, 0.572) and Bi at (0.000, 0.250, 0.875).

The total energy comes out at -8.438 eV/atom.

(3)
This record from Alexandria describes GeBAsS2 after structural relaxation. The functional is PBE.

The structure belongs to space group P4/mmm (No. 123); the cell edges are 4.776, 4.776 and 5.011 Å and the angles 90.00°, 90.00° and 90.00°. The asymmetric unit holds Ge at (0.000, 0.000, 0.000), B at (0.500, 0.500, 0.000), As at (0.000, 0.000, 0.500) and S at (0.000, 0.500, 0.500).

For the uncorrected formation energy, the calculation gives 1.44 eV/atom.

(4)
This record from Alexandria describes NaGa6Ir5 after structural relaxation. The functional is PBE.

The structure belongs to space group C2/m (No. 12); the cell edges are 5.131, 11.434 and 7.125 Å and the angles 90.00°, 110.84° and 90.00°. The asymmetric unit holds Na at (0.000, 0.000, 0.000), Ga at (0.145, 0.500, 0.203), Ga at (0.199, 0.310, 0.704), Ir at (0.000, 0.117, 0.500), Ir at (0.000, 0.310, 0.000) and Ir at (0.000, 0.500, 0.500).

The total energy comes out at -5.524 eV/atom.

(5)
This record from Alexandria describes Li2BiPd8 after structural relaxation. The functional is PBE.

The structure belongs to space group Immm (No. 71); the cell edges are 4.237, 6.722 and 12.388 Å and the angles 90.00°, 90.00° and 90.00°. The asymmetric unit holds Li at (0.000, 0.000, 0.195), Bi at (0.000, 0.000, 0.500), Pd at (0.000, 0.196, 0.000), Pd at (0.000, 0.286, 0.342) and Pd at (0.000, 0.500, 0.158).

The total energy comes out at -4.661 eV/atom.

(6)
This record from Alexandria describes Er7Hg2Bi2 after structural relaxation. The functional is PBE.

The structure belongs to space group Cmmm (No. 65); the cell edges are 9.417, 10.871 and 6.959 Å and the angles 90.00°, 90.00° and 90.00°. The asymmetric unit holds Er at (0.000, 0.000, 0.000), Er at (0.000, 0.500, 0.248), Er at (0.250, 0.250, 0.253), Hg at (0.000, 0.276, 0.000) and Bi at (0.201, 0.000, 0.500).

The total energy comes out at -3.827 eV/atom.

(7)
This record from Alexandria describes Na4Sn3PdS8 after structural relaxation. The functional is PBE.

The structure belongs to space group C2/m (No. 12); the cell edges are 13.813, 7.531 and 8.012 Å and the angles 90.00°, 122.48° and 90.00°. The asymmetric unit holds Na at (0.000, 0.000, 0.000), Na at (0.000, 0.500, 0.000), Na at (0.250, 0.250, 0.000), Sn at (0.000, 0.000, 0.500), Sn at (0.250, 0.250, 0.500), Pd at (0.000, 0.500, 0.500), S at (0.018, 0.279, 0.304), S at (0.227, 0.000, 0.252) and S at (0.242, 0.000, 0.731).

For the uncorrected formation energy, the calculation gives -0.66 eV/atom.

(8)
This record from Alexandria describes TaTi3Ge5 after structural relaxation. The functional is PBE.

The structure belongs to space group P6_3/mcm (No. 193); the cell edges are 8.0418, 8.0418 and 5.3492 Å and the angles 90.00°, 90.00° and 120.00°. The asymmetric unit holds Ta at (0.0000, 0.0000, 0.0000), Ti at (0.0000, 0.3823, 0.2500), Ge at (0.0000, 0.2901, 0.7500) and Ge at (0.3333, 0.6667, 0.0000).

The total energy comes out at -6.836 eV/atom.

(9)
This record from Alexandria describes Sb after structural relaxation. The functional is PBE.

The structure belongs to space group P-1 (No. 2); the cell edges are 4.560, 6.602 and 8.152 Å and the angles 71.86°, 89.92° and 70.87°. The asymmetric unit holds Sb at (0.000, 0.000, 0.000), Sb at (0.000, 0.000, 0.500), Sb at (0.000, 0.500, 0.000), Sb at (0.251, 0.484, 0.626) and Sb at (0.484, 0.041, 0.239).

For the uncorrected formation energy, the calculation gives 0.16 eV/atom.

(10)
This record from Alexandria describes V2CI after structural relaxation. The functional is PBE.

The structure belongs to space group Fm-3m (No. 225); the cell edges are 6.046, 6.046 and 6.046 Å and the angles 90.00°, 90.00° and 90.00°. The asymmetric unit holds V at (0.250, 0.250, 0.250), C at (0.000, 0.000, 0.000) and I at (0.000, 0.000, 0.500).

For the uncorrected formation energy, the calculation gives 1.22 eV/atom.

(11)
This record from Alexandria describes Li2Cd2Ge after structural relaxation. The functional is PBE.

The structure belongs to space group P4/mbm (No. 127); the cell edges are 7.600, 7.600 and 3.325 Å and the angles 90.00°, 90.00° and 90.00°. The asymmetric unit holds Li at (0.162, 0.338, 0.000), Cd at (0.138, 0.638, 0.500) and Ge at (0.000, 0.000, 0.500).

The total energy comes out at -2.150 eV/atom.

(12)
This record from Alexandria describes NaLi3Pt after structural relaxation. The functional is PBE.

The structure belongs to space group Pm-3m (No. 221); the cell edges are 4.845, 4.845 and 4.845 Å and the angles 90.00°, 90.00° and 90.00°. The asymmetric unit holds Na at (0.000, 0.000, 0.000), Li at (0.000, 0.500, 0.500) and Pt at (0.500, 0.500, 0.500).

The total energy comes out at -2.801 eV/atom.